Computed, not measured: Mn2CdBiO6 after structural relaxation at the GGA+U level of DFT.

Cell: 5.4807 5.4793 5.5042 Å, 59.85 59.83 60.25°
With the nearest neighbours (Å) after each atom.
Positions (direct):
Mn1 0.5155 0.5170 0.4514  6 O 1.99-2.01
Bi1 0.2936 0.2388 0.1977  5 O 2.36-2.39
O1 0.8586 0.6737 0.2023  2 Mn 2.00
O2 0.7077 0.2090 0.2594  2 Mn 2.00
Mn2 0.0153 0.0168 0.9515  6 O 1.99-2.01
O3 0.3241 0.8242 0.6442  2 Mn 2.00
O4 0.7093 0.2084 0.7580  2 Mn 1.99-2.00
O5 0.1603 0.3720 0.7068  2 Mn 2.01, 1 Cd 2.24
Cd1 0.7540 0.7783 0.6999  5 O 2.24-2.42
O6 0.3232 0.8234 0.1441  2 Mn 1.99-2.00

Properties
The total magnetization is 7.000 Bohr magnetons per cell. Its volume is 116.81 Å³ per cell. Its crystal system is monoclinic. The total energy comes out at -0.459 Ry/atom. Its density of states at the Fermi level is 1.61 states/eV/f.u.